Here is a relaxed structure of LaScHg from the Alexandria database. Energies are from PBE.

abc: 6.8709 6.8709 6.8709
angles: 149.70 149.70 43.39
Element x y z (fractional)
La 0.0000 0.0000 0.0000
Sc 0.3082 0.3082 0.0000
Hg 0.6848 0.6848 0.0000

Summary:
Energy of formation from the pure elements, eV per formula unit: -0.8
Final energy, eV/atom: -4.13
Relative energy among the computed polymorphs, meV/atom: 66
Total moment, μB per formula unit: 0.670

Here is a relaxed structure of LaScHg from the Alexandria database. Energies are from PBE.

abc: 6.9278 4.5592 9.8445
angles: 90.00 90.00 90.00
Element x y z (fractional)
La 0.1294 0.2500 0.0654
La 0.3706 0.7500 0.5654
La 0.6294 0.2500 0.4346
La 0.8706 0.7500 0.9346
Sc 0.1142 0.2500 0.3918
Sc 0.3858 0.7500 0.8918
Sc 0.6142 0.2500 0.1082
Sc 0.8858 0.7500 0.6082
Hg 0.1134 0.2500 0.7258
Hg 0.3866 0.7500 0.2258
Hg 0.6134 0.2500 0.7742
Hg 0.8866 0.7500 0.2742

Summary:
Energy of formation from the pure elements, eV per formula unit: -0.6
Final energy, eV/atom: -4.05
Relative energy among the computed polymorphs, meV/atom: 142
Total moment, μB per formula unit: 0.000

Here is a relaxed structure of LaScHg from the Alexandria database. Energies are from PBE.

abc: 5.1191 5.1191 5.1191
angles: 60.00 60.00 60.00
Element x y z (fractional)
La 0.0000 0.0000 0.0000
Sc 0.5000 0.5000 0.5000
Hg 0.2500 0.2500 0.2500

Summary:
Energy of formation from the pure elements, eV per formula unit: -0.2
Final energy, eV/atom: -3.91
Relative energy among the computed polymorphs, meV/atom: 287
Total moment, μB per formula unit: 0.408

Here is a relaxed structure of LaSc3Hg from the Alexandria database. Energies are from PBE.

abc: 5.3625 5.3625 5.3625
angles: 90.00 90.00 90.00
Element x y z (fractional)
La 0.0000 0.0000 0.0000
Sc 0.0000 0.5000 0.5000
Sc 0.5000 0.0000 0.5000
Sc 0.5000 0.5000 0.0000
Hg 0.5000 0.5000 0.5000

Summary:
Energy of formation from the pure elements, eV per formula unit: 1.0
Final energy, eV/atom: -4.64
Relative energy among the computed polymorphs, meV/atom: 0
Total moment, μB per formula unit: 0.000